A plane-wave DFT calculation with PBE-GGA was carried out for an optimized crystal structure of Sm8Tl2Si.

Values from the calculation:
Magnetization (μB/atom): 0.000
Formation energy from raw total energies (eV/atom): -0.144

Cell lengths 9.1414, 14.5030, 6.4833 Å; angles 90.00, 128.26, 90.00 degrees
With the nearest neighbours (Å) after each atom.
Space group C2/m (No. 12)
Asymmetric unit:
Sm1 0.0000 0.2299 0.0000 [4 per cell]  2 Sm 3.17, 1 Si 3.33, 2 Tl 3.40
Sm2 0.1382 0.5000 0.8708 [4 per cell]  1 Si 2.86
Sm3 0.1891 0.1062 0.5091 [8 per cell]  1 Si 3.03, 3 Sm 3.08-3.39, 2 Tl 3.18-3.30
Tl1 0.0000 0.3013 0.5000 [4 per cell]  8 Sm 3.18-3.45
Si1 0.0000 0.0000 0.0000 [2 per cell]  6 Sm 2.86-3.03